1.
! TlReNi2, relaxed, DFT GGA-PBE; values from VASP
! Offset from the most stable computed form (kJ/mol of formula units): 0
! Calculated total energy (eV per atom): -6.274
! Energy of formation (eV/atom): 0.3207
&SYSTEM
  ibrav = 0, nat = 4, ntyp = 3
/
ATOMIC_SPECIES
Ni 58.69 Ni.upf
Re 186.21 Re.upf
Tl 204.38 Tl.upf
ATOMIC_POSITIONS angstrom
Ni 0.0483 -0.1309 0.1751
Ni 0.7646 -2.0747 2.7750
Re 1.6217 -2.1845 0.3315
Tl 2.4346 -4.3901 3.2817
CELL_PARAMETERS angstrom
-0.2984 -2.2779 -1.6208
2.7290 0.1145 -0.6663
1.6256 -4.4112 5.9003

=====

2.
! TlReNi2, relaxed, DFT GGA-PBE; values from VASP
! Offset from the most stable computed form (kJ/mol of formula units): 75
! Calculated total energy (eV per atom): -6.080
! Energy of formation (eV/atom): 0.5140
&SYSTEM
  ibrav = 0, nat = 4, ntyp = 3
/
ATOMIC_SPECIES
Ni 58.69 Ni.upf
Re 186.21 Re.upf
Tl 204.38 Tl.upf
ATOMIC_POSITIONS angstrom
Ni 0.6544 0.2189 4.8885
Ni 4.2950 1.4369 2.8530
Re 6.4730 2.1656 3.8730
Tl 2.1577 0.7219 1.2910
CELL_PARAMETERS angstrom
4.4453 0.0015 0.0022
3.5512 2.6738 0.0022
0.6341 0.2122 5.1595

=====

3.
! TlReNi2, relaxed, DFT GGA-PBE; values from VASP
! Offset from the most stable computed form (kJ/mol of formula units): 82
! Calculated total energy (eV per atom): -6.060
! Energy of formation (eV/atom): 0.5338
&SYSTEM
  ibrav = 0, nat = 4, ntyp = 3
/
ATOMIC_SPECIES
Ni 58.69 Ni.upf
Re 186.21 Re.upf
Tl 204.38 Tl.upf
ATOMIC_POSITIONS angstrom
Ni 0.0000 0.0000 0.0000
Ni 2.3000 2.3000 0.0000
Re 2.3000 0.0000 1.3844
Tl 0.0000 2.3000 1.3844
CELL_PARAMETERS angstrom
4.6000 0.0000 0.0000
0.0000 4.6000 0.0000
0.0000 0.0000 2.7688